First-principles (PBEsol) data for As2PbSe after structural relaxation, as listed in Alexandria via LeMat-Bulk.

Cell lengths 4.0153, 4.0153, 5.7273 Å; angles 90.00, 90.00, 90.00 degrees
Space group P4/mmm (No. 123)
Asymmetric unit:
As 0.0000 0.5000 0.0000 [2 per cell]
Pb 0.0000 0.0000 0.5000 [1 per cell]
Se 0.5000 0.5000 0.5000 [1 per cell]

Output
- calculated density (Mg/m³) = 7.84
- crystal system = tetragonal
- energy above the most stable polymorph in this dataset (meV/atom) = 279
- D(E_F) (states/eV/f.u.) = 2.67
- calculated volume (A^3/atom) = 23.085
- DFT total energy (eV for the cell shown) = -17.036
- formation energy (no corrections) (meV per atom) = 256.3

=====

First-principles (PBEsol) data for As2PbSe after structural relaxation, as listed in Alexandria via LeMat-Bulk.

Cell lengths 3.6381, 5.3833, 9.2523 Å; angles 90.00, 90.00, 90.00 degrees
Space group Imm2 (No. 44)
Asymmetric unit:
As 0.0000 0.0000 0.0000 [2 per cell]
As 0.0000 0.5000 0.3108 [2 per cell]
Pb 0.0000 0.0000 0.5002 [2 per cell]
Se 0.0000 0.5000 0.7341 [2 per cell]

Output
- calculated density (Mg/m³) = 7.99
- crystal system = orthorhombic
- energy above the most stable polymorph in this dataset (meV/atom) = 117
- D(E_F) (states/eV/f.u.) = 2.19
- calculated volume (A^3/atom) = 22.651
- DFT total energy (eV for the cell shown) = -35.373
- formation energy (no corrections) (meV per atom) = 93.8

=====

First-principles (PBEsol) data for AsPbSe after structural relaxation, as listed in Alexandria via LeMat-Bulk.

Cell lengths 4.1054, 4.1054, 5.0222 Å; angles 90.00, 90.00, 120.00 degrees
Space group P3m1 (No. 156)
Asymmetric unit:
As 0.0000 0.0000 0.0000 [1 per cell]
Pb 0.3333 0.6667 0.6636 [1 per cell]
Se 0.6667 0.3333 0.3043 [1 per cell]

Output
- calculated density (Mg/m³) = 8.18
- crystal system = trigonal
- D(E_F) (states/eV/f.u.) = 1.78
- calculated volume (A^3/atom) = 24.436
- DFT total energy (eV for the cell shown) = -12.763
- formation energy (no corrections) (meV per atom) = 64.0

=====

- What is the D(E_F) in the second record?
  2.19 states/eV/f.u.

=====

What did the second record say?
First-principles (PBEsol) data for As2PbSe after structural relaxation, as listed in Alexandria via LeMat-Bulk.

Cell lengths 3.6381, 5.3833, 9.2523 Å; angles 90.00, 90.00, 90.00 degrees
Space group Imm2 (No. 44)
Asymmetric unit:
As 0.0000 0.0000 0.0000 [2 per cell]
As 0.0000 0.5000 0.3108 [2 per cell]
Pb 0.0000 0.0000 0.5002 [2 per cell]
Se 0.0000 0.5000 0.7341 [2 per cell]

Output
- calculated density (Mg/m³) = 7.99
- crystal system = orthorhombic
- energy above the most stable polymorph in this dataset (meV/atom) = 117
- D(E_F) (states/eV/f.u.) = 2.19
- calculated volume (A^3/atom) = 22.651
- DFT total energy (eV for the cell shown) = -35.373
- formation energy (no corrections) (meV per atom) = 93.8